First-principles (GGA-PBE) data for an optimized crystal structure of InSb2Rh, as listed in the Alexandria database.

The structure in POSCAR format:
```
InSb2Rh
1.0
-0.7773 -5.6516 3.8347
2.2906 -1.6115 6.2775
-3.4654 4.0021 -4.3846
In Rh Sb
1 1 2
Cartesian
-0.5874 1.1953 0.9464 In
-2.1213 -0.8248 -0.2749 Rh
1.0278 -4.9330 6.8680 Sb
0.4855 -2.3302 3.2442 Sb
```

Summary:
As for the uncorrected formation energy: -0.159 eV per atom.